1.
SiSnPt5 | GGA-PBE | relaxed

a = 4.006 Å, b = 4.006 Å, c = 7.114 Å
α = 90.00°, β = 90.00°, γ = 90.00°
Fractional coordinates of all 7 atoms:
Si: 0.000 0.000 0.500
Pt: 0.500 0.000 0.296
Pt: 0.000 0.000 0.000
Pt: 0.500 0.000 0.704
Pt: 0.000 0.500 0.704
Pt: 0.000 0.500 0.296
Sn: 0.500 0.500 0.000

Computed properties:
Space-group type: No. 123
Electronic total energy in eV per atom: -6.219
E_form (uncorrected) in meV/atom: -558

---

2.
SiSnPt | GGA-PBE | relaxed

a = 4.059 Å, b = 4.059 Å, c = 8.926 Å
α = 89.96°, β = 103.09°, γ = 120.25°
Fractional coordinates of all 6 atoms:
Si: 0.402 0.200 0.603
Si: 0.598 0.800 0.397
Sn: 0.242 0.623 0.865
Sn: 0.758 0.377 0.135
Pt: 0.213 0.106 0.319
Pt: 0.787 0.894 0.681

Computed properties:
Space-group type: No. 12
Electronic total energy in eV per atom: -5.598
E_form (uncorrected) in meV/atom: -443